No. 1
# KCu2Ag4 PBE-GGA optimized geometry
data_KCu2Ag4
_cell_length_a 5.347
_cell_length_b 5.347
_cell_length_c 7.985
_cell_angle_alpha 70.44
_cell_angle_beta 70.44
_cell_angle_gamma 90.00
_symmetry_space_group_name_H-M 'P 1'
_symmetry_Int_Tables_number 1
_symmetry_space_group_name_Hall 'P 1'
loop_
_atom_site_label
_atom_site_type_symbol
_atom_site_fract_x
_atom_site_fract_y
_atom_site_fract_z
Ag1 Ag 0.500 0.000 0.000
Ag2 Ag 0.000 0.500 0.000
Ag3 Ag 0.241 0.241 0.519
Ag4 Ag 0.759 0.759 0.481
Cu1 Cu 0.581 0.581 0.837
Cu2 Cu 0.419 0.419 0.163
K1 K 0.000 0.000 0.000
# Space group = I4/mmm, No. 139

No. 2
# AcI PBE-GGA optimized geometry
data_AcI
_cell_length_a 4.021
_cell_length_b 6.629
_cell_length_c 5.779
_cell_angle_alpha 90.00
_cell_angle_beta 90.00
_cell_angle_gamma 90.00
_symmetry_space_group_name_H-M 'P 1'
_symmetry_Int_Tables_number 1
_symmetry_space_group_name_Hall 'P 1'
loop_
_atom_site_label
_atom_site_type_symbol
_atom_site_fract_x
_atom_site_fract_y
_atom_site_fract_z
Ac1 Ac 0.750 0.250 0.614
Ac2 Ac 0.250 0.750 0.386
I1 I 0.750 0.750 0.884
I2 I 0.250 0.250 0.116
# Space group = Pmmn, No. 59
# Formation energy without anion corrections = -0.8880 eV per atom
# E above lowest polymorph = 0.0000 eV per atom

No. 3
# CsNa2Hf PBE-GGA optimized geometry
data_CsNa2Hf
_cell_length_a 9.569
_cell_length_b 9.569
_cell_length_c 7.708
_cell_angle_alpha 51.63
_cell_angle_beta 51.63
_cell_angle_gamma 90.00
_symmetry_space_group_name_H-M 'P 1'
_symmetry_Int_Tables_number 1
_symmetry_space_group_name_Hall 'P 1'
loop_
_atom_site_label
_atom_site_type_symbol
_atom_site_fract_x
_atom_site_fract_y
_atom_site_fract_z
Cs1 Cs 0.250 0.750 0.500
Cs2 Cs 0.500 0.500 0.000
Na1 Na 0.101 0.625 0.250
Na2 Na 0.875 0.899 0.750
Na3 Na 0.649 0.125 0.250
Na4 Na 0.375 0.351 0.750
Hf1 Hf 0.000 0.000 0.000
Hf2 Hf 0.750 0.250 0.500
# Space group = I-42d, No. 122
# E above lowest polymorph = 0.0892 eV per atom

No. 4
# ScCuAg2 PBE-GGA optimized geometry
data_ScCuAg2
_cell_length_a 4.420
_cell_length_b 3.082
_cell_length_c 5.426
_cell_angle_alpha 76.19
_cell_angle_beta 90.00
_cell_angle_gamma 90.00
_symmetry_space_group_name_H-M 'P 1'
_symmetry_Int_Tables_number 1
_symmetry_space_group_name_Hall 'P 1'
loop_
_atom_site_label
_atom_site_type_symbol
_atom_site_fract_x
_atom_site_fract_y
_atom_site_fract_z
Sc1 Sc 0.500 0.750 0.750
Cu1 Cu 0.500 0.250 0.250
Ag1 Ag 0.000 0.091 0.016
Ag2 Ag 0.000 0.409 0.484
# Space group = P2/m, No. 10
# E above lowest polymorph = 0.1287 eV per atom

No. 5
# K2BaY PBE-GGA optimized geometry
data_K2BaY
_cell_length_a 8.121
_cell_length_b 8.121
_cell_length_c 3.797
_cell_angle_alpha 90.00
_cell_angle_beta 90.00
_cell_angle_gamma 122.76
_symmetry_space_group_name_H-M 'P 1'
_symmetry_Int_Tables_number 1
_symmetry_space_group_name_Hall 'P 1'
loop_
_atom_site_label
_atom_site_type_symbol
_atom_site_fract_x
_atom_site_fract_y
_atom_site_fract_z
K1 K 0.000 0.000 0.000
K2 K 0.500 0.500 0.000
Y1 Y 0.500 0.000 0.500
Ba1 Ba 0.000 0.500 0.500
# Space group = Cmmm, No. 65
# E above lowest polymorph = 0.1678 eV per atom

No. 6
# Tc4SbSe PBE-GGA optimized geometry
data_Tc4SbSe
_cell_length_a 5.256
_cell_length_b 5.256
_cell_length_c 5.256
_cell_angle_alpha 60.00
_cell_angle_beta 60.00
_cell_angle_gamma 60.00
_symmetry_space_group_name_H-M 'P 1'
_symmetry_Int_Tables_number 1
_symmetry_space_group_name_Hall 'P 1'
loop_
_atom_site_label
_atom_site_type_symbol
_atom_site_fract_x
_atom_site_fract_y
_atom_site_fract_z
Tc1 Tc 0.626 0.626 0.626
Tc2 Tc 0.626 0.123 0.626
Tc3 Tc 0.123 0.626 0.626
Tc4 Tc 0.626 0.626 0.123
Sb1 Sb 0.250 0.250 0.250
Se1 Se 0.000 0.000 0.000
# Space group = F-43m, No. 216
# Formation energy without anion corrections = 0.6664 eV per atom

Calculated DFT total energy, -14.2, -7.4, -8.8, -16.2, -8.9, -45.1 eV per formula unit (same order as the records).